A plane-wave DFT calculation with PBE-GGA was carried out for a relaxed SrFe crystal.

Final energy in Ha/atom: -0.169
Crystal system: tetragonal

abc: 10.9996 10.9996 4.1251
angles: 90.00 90.00 90.00
Closest atoms and distances in Å follow each position.
Space group P4/m (No. 83)
One atom of each set of equivalent atoms:
Sr  0.0309  0.2345  0.0000  4 Fe 2.96-3.19
Sr  0.2867  0.6529  0.5000  4 Fe 3.26-3.50
Fe  0.0660  0.4238  0.5000  3 Fe 2.22-2.33
Fe  0.1033  0.5154  0.0000  3 Fe 2.30-2.33